A relaxed structure of K2CoReBr, computed with PBE-GGA.

## Properties
**Uncorrected energy**: -3.2786 eV per atom
**Total magnetic moment**: 5.232 μB/cell
**SG**: P4/mmm (123)
**E_form (uncorrected)**: 1.406 eV per atom

abc: 6.191 4.899 6.191
angles: 90.00 90.00 90.00
Site moments in Bohr magnetons follow the coordinates.
Fractional positions:
Co 0.500 0.500 0.500  2.16
Br 0.000 0.000 0.000  0.07
Re 0.000 0.500 0.000  2.49
K 0.500 0.000 0.000  0.00
K 0.000 0.000 0.500  -0.01

---

A relaxed structure of CuSiHg2, computed with PBE-GGA.

## Properties
**Uncorrected energy**: -2.0815 eV per atom
**Total magnetic moment**: 0.000 μB/cell
**SG**: R-3m (166)
**E_form (uncorrected)**: 0.449 eV per atom

abc: 8.602 8.602 8.602
angles: 21.89 21.89 21.89
Fractional positions:
Hg 0.496 0.496 0.496
Cu 0.750 0.750 0.750
Hg 0.004 0.004 0.004
Si 0.250 0.250 0.250